Entry one
Below is a geometry-optimized MgBOs structure, with properties calculated at the GGA-PBE level. Values from VASP.

The structure in Quantum ESPRESSO input format:
```
&SYSTEM
  ibrav = 0, nat = 3, ntyp = 3
/
ATOMIC_SPECIES
Mg 24.30 Mg.upf
B 10.81 B.upf
Os 190.23 Os.upf
CELL_PARAMETERS angstrom
-1.254 -0.217 -3.292
2.852 -2.049 -0.951
-3.031 -1.572 1.258
ATOMIC_POSITIONS angstrom
Mg -1.906 -1.876 -1.673
B 0.682 -1.926 -0.763
Os -0.209 -0.036 -0.549
```

total magnetization = 0.0 μB per cell
symmetry = P-6m2, No. 187

Entry two
Below is a geometry-optimized MgBOs structure, with properties calculated at the GGA-PBE level. Values from VASP.

The structure in Quantum ESPRESSO input format:
```
&SYSTEM
  ibrav = 0, nat = 3, ntyp = 3
/
ATOMIC_SPECIES
Mg 24.30 Mg.upf
B 10.81 B.upf
Os 190.23 Os.upf
CELL_PARAMETERS angstrom
-0.369 0.406 -2.887
-0.853 -2.798 -0.284
-3.847 2.479 2.335
ATOMIC_POSITIONS angstrom
Mg -5.014 0.071 -0.845
B -2.600 -0.624 -1.251
Os -2.524 0.726 0.424
```

total magnetization = 0.0 μB per cell
symmetry = I4mm, No. 107

Entry three
Below is a geometry-optimized MgBOs structure, with properties calculated at the GGA-PBE level. Values from VASP.

The structure in Quantum ESPRESSO input format:
```
&SYSTEM
  ibrav = 0, nat = 6, ntyp = 3
/
ATOMIC_SPECIES
B 10.81 B.upf
Os 190.23 Os.upf
Mg 24.30 Mg.upf
CELL_PARAMETERS angstrom
3.940 0.000 0.000
0.000 4.131 -0.547
0.000 -1.644 5.299
ATOMIC_POSITIONS angstrom
B 0.985 2.222 1.554
B 2.955 0.265 3.198
Os 0.985 0.211 2.236
Os 2.955 2.275 2.516
Mg 0.985 -0.789 4.751
Mg 2.955 3.276 0.001
```

total magnetization = 0.0 μB per cell
symmetry = P2_1/m, No. 11

Entry four
Below is a geometry-optimized MgBOs structure, with properties calculated at the GGA-PBE level. Values from VASP.

The structure in Quantum ESPRESSO input format:
```
&SYSTEM
  ibrav = 0, nat = 12, ntyp = 3
/
ATOMIC_SPECIES
Mg 24.30 Mg.upf
B 10.81 B.upf
Os 190.23 Os.upf
CELL_PARAMETERS angstrom
3.025 0.000 0.000
0.000 5.788 0.000
0.000 0.000 9.128
ATOMIC_POSITIONS angstrom
Mg 2.269 1.447 4.853
Mg 0.756 1.447 0.289
Mg 0.756 4.341 4.275
Mg 2.269 4.341 8.839
B 2.269 1.453 7.339
B 0.756 1.441 2.775
B 0.756 4.335 1.789
B 2.269 4.348 6.353
Os 2.269 2.889 2.284
Os 0.756 0.006 6.848
Os 0.756 2.900 6.844
Os 2.269 5.783 2.280
```

total magnetization = 0.0 μB per cell
symmetry = Pnma, No. 62

Which one is most stable, and which one is least stable? entry four is the most stable of them, while entry one is the least stable.

Entry one
Below is a geometry-optimized MgB3Os structure, with properties calculated at the GGA-PBE level. Values from VASP.

The structure in Quantum ESPRESSO input format:
```
&SYSTEM
  ibrav = 0, nat = 5, ntyp = 3
/
ATOMIC_SPECIES
Mg 24.30 Mg.upf
B 10.81 B.upf
Os 190.23 Os.upf
CELL_PARAMETERS angstrom
-2.287 2.640 2.184
-3.407 -2.031 -1.112
0.364 -2.424 3.311
ATOMIC_POSITIONS angstrom
Mg -2.665 -0.907 2.192
B -1.704 -1.015 -0.556
B 0.182 -1.212 1.656
B -1.143 1.320 1.092
Os 0.000 0.000 0.000
```

total magnetization = 0.0 μB per cell
symmetry = Pm-3m, No. 221

Entry two
Below is a geometry-optimized MgB3Os structure, with properties calculated at the GGA-PBE level. Values from VASP.

The structure in Quantum ESPRESSO input format:
```
&SYSTEM
  ibrav = 0, nat = 5, ntyp = 3
/
ATOMIC_SPECIES
Mg 24.30 Mg.upf
B 10.81 B.upf
Os 190.23 Os.upf
CELL_PARAMETERS angstrom
3.991 0.000 0.000
0.000 3.991 0.000
0.000 0.000 3.991
ATOMIC_POSITIONS angstrom
Mg 0.000 0.000 0.000
B 0.000 1.995 0.000
B 0.000 0.000 1.995
B 1.995 0.000 0.000
Os 1.995 1.995 1.995
```

total magnetization = 0.0 μB per cell
symmetry = Pm-3m, No. 221

Which one is most stable, and which one is least stable? entry one is the most stable of them, while entry two is the least stable.

Entry one
Below is a geometry-optimized MgBP structure, with properties calculated at the GGA-PBE level. Values from VASP.

The structure in Quantum ESPRESSO input format:
```
&SYSTEM
  ibrav = 0, nat = 12, ntyp = 3
/
ATOMIC_SPECIES
P 30.97 P.upf
Mg 24.30 Mg.upf
B 10.81 B.upf
CELL_PARAMETERS angstrom
3.194 0.000 -0.004
0.000 7.539 0.000
-1.379 0.000 7.360
ATOMIC_POSITIONS angstrom
P 0.888 0.000 1.701
P 0.927 0.000 5.655
P 0.198 3.770 5.382
P 1.617 3.770 1.974
Mg 0.908 5.662 3.678
Mg 0.908 1.877 3.678
Mg 1.597 1.893 -0.002
Mg 1.597 5.647 -0.002
B -0.676 0.000 4.505
B 2.491 0.000 2.851
B 0.014 3.770 0.825
B 1.801 3.770 6.531
```

total magnetization = 0.0 μB per cell
symmetry = C2/m, No. 12

Entry two
Below is a geometry-optimized MgBP structure, with properties calculated at the GGA-PBE level. Values from VASP.

The structure in Quantum ESPRESSO input format:
```
&SYSTEM
  ibrav = 0, nat = 6, ntyp = 3
/
ATOMIC_SPECIES
P 30.97 P.upf
Mg 24.30 Mg.upf
B 10.81 B.upf
CELL_PARAMETERS angstrom
-2.719 -2.593 3.420
-0.537 -2.280 -2.156
5.322 -1.427 0.183
ATOMIC_POSITIONS angstrom
P 1.077 -1.332 1.140
P 3.470 -3.185 0.154
Mg -1.124 -2.244 2.653
Mg 1.269 -4.097 1.667
B 4.768 -1.822 0.739
B 1.838 -2.248 -0.431
```

total magnetization = 0.0 μB per cell
symmetry = R3m, No. 160

Which one is most stable, and which one is least stable? entry one is the most stable of them, while entry two is the least stable.

Entry one
Below is a geometry-optimized MgBP structure, with properties calculated at the GGA-PBE level. Values from VASP.

The structure in Quantum ESPRESSO input format:
```
&SYSTEM
  ibrav = 0, nat = 12, ntyp = 3
/
ATOMIC_SPECIES
P 30.97 P.upf
Mg 24.30 Mg.upf
B 10.81 B.upf
CELL_PARAMETERS angstrom
3.784 0.000 0.000
0.000 3.193 0.000
0.000 0.000 14.245
ATOMIC_POSITIONS angstrom
P 0.000 0.000 11.564
P 0.000 1.597 4.442
P 0.000 0.000 7.622
P 0.000 1.597 0.500
Mg 1.892 0.000 9.514
Mg 1.892 1.597 2.392
Mg 1.892 0.000 5.746
Mg 1.892 1.597 12.868
B 0.000 0.000 3.292
B 0.000 1.597 10.414
B 0.000 0.000 1.624
B 0.000 1.597 8.747
```

total magnetization = 0.0 μB per cell
symmetry = Amm2, No. 38

Entry two
Below is a geometry-optimized MgBP structure, with properties calculated at the GGA-PBE level. Values from VASP.

The structure in Quantum ESPRESSO input format:
```
&SYSTEM
  ibrav = 0, nat = 3, ntyp = 3
/
ATOMIC_SPECIES
P 30.97 P.upf
Mg 24.30 Mg.upf
B 10.81 B.upf
CELL_PARAMETERS angstrom
3.170 0.000 0.000
-1.585 2.745 0.000
0.000 0.000 4.736
ATOMIC_POSITIONS angstrom
P 0.000 1.830 1.436
Mg 0.000 0.000 3.734
B 1.585 0.915 0.718
```

total magnetization = 0.0 μB per cell
symmetry = P3m1, No. 156

Which one is most stable, and which one is least stable? entry one is the most stable of them, while entry two is the least stable.

Entry one
Below is a geometry-optimized MgBP structure, with properties calculated at the GGA-PBE level. Values from VASP.

The structure in Quantum ESPRESSO input format:
```
&SYSTEM
  ibrav = 0, nat = 6, ntyp = 3
/
ATOMIC_SPECIES
P 30.97 P.upf
Mg 24.30 Mg.upf
B 10.81 B.upf
CELL_PARAMETERS angstrom
3.180 0.005 -0.006
-0.023 5.304 0.000
-1.560 -0.128 5.143
ATOMIC_POSITIONS angstrom
P 0.798 1.185 1.183
P 0.800 3.996 3.954
Mg 0.789 3.870 1.143
Mg 0.809 1.311 3.994
B 2.388 2.001 1.994
B -0.791 3.180 3.144
```

total magnetization = 0.0 μB per cell
symmetry = P-1, No. 2

Entry two
Below is a geometry-optimized MgBP structure, with properties calculated at the GGA-PBE level. Values from VASP.

The structure in Quantum ESPRESSO input format:
```
&SYSTEM
  ibrav = 0, nat = 12, ntyp = 3
/
ATOMIC_SPECIES
P 30.97 P.upf
Mg 24.30 Mg.upf
B 10.81 B.upf
CELL_PARAMETERS angstrom
7.938 0.000 -0.001
0.000 3.222 0.000
-2.537 0.000 7.626
ATOMIC_POSITIONS angstrom
P 2.957 0.000 1.418
P 1.689 1.611 5.231
P 6.470 0.000 2.952
P 5.202 1.611 6.764
Mg 3.756 0.000 3.973
Mg 5.025 1.611 0.160
Mg 0.437 0.000 1.165
Mg -0.831 1.611 4.978
B 2.563 0.000 5.926
B 3.831 1.611 2.113
B 4.081 0.000 6.529
B 5.350 1.611 2.716
```

total magnetization = 0.0 μB per cell
symmetry = Cm, No. 8

Which one is most stable, and which one is least stable? entry one is the most stable of them, while entry two is the least stable.

Entry one
Below is a geometry-optimized MgBP structure, with properties calculated at the GGA-PBE level. Values from VASP.

The structure in Quantum ESPRESSO input format:
```
&SYSTEM
  ibrav = 0, nat = 12, ntyp = 3
/
ATOMIC_SPECIES
P 30.97 P.upf
Mg 24.30 Mg.upf
B 10.81 B.upf
CELL_PARAMETERS angstrom
-0.416 -2.583 2.939
2.268 -1.841 -1.297
10.618 9.621 4.905
ATOMIC_POSITIONS angstrom
P 8.262 5.461 6.694
P 4.087 -0.271 3.593
P 5.552 3.614 4.576
P 1.376 -2.117 1.475
Mg 6.988 5.777 4.016
Mg 2.812 0.045 0.915
Mg 3.785 2.363 3.265
Mg 10.228 6.253 5.069
B 2.167 0.192 3.516
B 8.610 4.082 5.320
B 1.003 -0.648 2.673
B 7.445 3.242 4.478
```

total magnetization = 0.0 μB per cell
symmetry = Cm, No. 8

Entry two
Below is a geometry-optimized MgBP structure, with properties calculated at the GGA-PBE level. Values from VASP.

The structure in Quantum ESPRESSO input format:
```
&SYSTEM
  ibrav = 0, nat = 12, ntyp = 3
/
ATOMIC_SPECIES
P 30.97 P.upf
Mg 24.30 Mg.upf
B 10.81 B.upf
CELL_PARAMETERS angstrom
-2.151 -1.837 3.723
2.718 0.371 1.754
-3.130 11.240 2.475
ATOMIC_POSITIONS angstrom
P -3.598 5.732 4.365
P -1.683 3.670 1.832
P -0.675 0.298 4.005
P -1.889 9.475 3.947
Mg -0.904 1.270 1.133
Mg -4.377 8.133 5.065
Mg -1.110 7.075 3.247
Mg -1.453 2.698 4.704
B -1.510 -0.578 2.462
B -3.771 9.980 3.736
B -1.716 5.227 4.576
B -0.848 4.546 3.375
```

total magnetization = 0.0 μB per cell
symmetry = C2/m, No. 12

Which one is most stable, and which one is least stable? entry two is the most stable of them, while entry one is the least stable.